No. 1
Computed, not measured: an optimized crystal structure of V3AgC at the GGA-PBE level of DFT.

Calculated values
Total magnetic moment, μB per atom: 1.55
Crystal system: cubic
Formation enthalpy at 0 K, meV per atom: 2838
Relative energy among the computed polymorphs, meV per atom: 2894
Calculated volume, Å³ per cell: 113.5

abc: 4.841 4.841 4.841
angles: 90.00 90.00 90.00
Element x y z (fractional)
V 0.000 0.000 0.500
V 0.000 0.500 0.000
V 0.500 0.000 0.000
Ag 0.000 0.000 0.000
C 0.500 0.500 0.500

=====

No. 2
Computed, not measured: an optimized crystal structure of SrLaMgGe at the GGA-PBE level of DFT.

Calculated values
Total magnetic moment, μB per atom: 0.00
Crystal system: cubic
Formation enthalpy at 0 K, meV per atom: -303
Calculated volume, Å³ per cell: 466.8

abc: 7.757 7.757 7.757
angles: 90.00 90.00 90.00
Element x y z (fractional)
Sr 0.000 0.000 0.000
Sr 0.000 0.500 0.500
Sr 0.500 0.000 0.500
Sr 0.500 0.500 0.000
La 0.000 0.000 0.500
La 0.000 0.500 0.000
La 0.500 0.000 0.000
La 0.500 0.500 0.500
Mg 0.250 0.250 0.750
Mg 0.250 0.750 0.250
Mg 0.750 0.250 0.250
Mg 0.750 0.750 0.750
Ge 0.250 0.250 0.250
Ge 0.250 0.750 0.750
Ge 0.750 0.250 0.750
Ge 0.750 0.750 0.250

=====

No. 3
Computed, not measured: an optimized crystal structure of Ti3InRu at the GGA-PBE level of DFT.

Calculated values
Total magnetic moment, μB per atom: 0.17
Crystal system: cubic
Formation enthalpy at 0 K, meV per atom: 252
Relative energy among the computed polymorphs, meV per atom: 0
Calculated volume, Å³ per cell: 104.7

abc: 4.713 4.713 4.713
angles: 90.00 90.00 90.00
Element x y z (fractional)
Ti 0.000 0.000 0.500
Ti 0.000 0.500 0.000
Ti 0.500 0.000 0.000
In 0.500 0.500 0.500
Ru 0.000 0.000 0.000

=====

No. 4
Computed, not measured: an optimized crystal structure of TbCe2Ti at the GGA-PBE level of DFT.

Calculated values
Total magnetic moment, μB per atom: 0.03
Crystal system: tetragonal
Formation enthalpy at 0 K, meV per atom: 186
Relative energy among the computed polymorphs, meV per atom: 0
Calculated volume, Å³ per cell: 103.6

abc: 3.250 3.250 9.809
angles: 90.00 90.00 90.00
Element x y z (fractional)
Tb 0.000 0.000 0.000
Ce 0.500 0.500 0.275
Ce 0.500 0.500 0.725
Ti 0.000 0.000 0.500

=====

No. 5
Computed, not measured: an optimized crystal structure of Pu6RhAu5 at the GGA-PBE level of DFT.

Calculated values
Total magnetic moment, μB per atom: 0.99
Crystal system: monoclinic
Formation enthalpy at 0 K, meV per atom: -392
Calculated volume, Å³ per cell: 274.8

abc: 9.150 9.150 5.481
angles: 107.37 107.37 39.15
Element x y z (fractional)
Pu 0.083 0.594 0.339
Pu 0.242 0.758 0.000
Pu 0.406 0.917 0.661
Pu 0.594 0.083 0.339
Pu 0.758 0.242 0.000
Pu 0.917 0.406 0.661
Rh 0.000 0.000 0.500
Au 0.170 0.170 0.169
Au 0.334 0.334 0.835
Au 0.500 0.500 0.500
Au 0.666 0.666 0.165
Au 0.830 0.830 0.831

=====

No. 6
Computed, not measured: an optimized crystal structure of RbH3O2 at the GGA-PBE level of DFT.

Calculated values
Total magnetic moment, μB per atom: 0.00
Crystal system: monoclinic
VASP energy, eV per formula unit: -28.07
Calculated volume, Å³ per cell: 167.7

abc: 6.588 6.588 7.360
angles: 117.79 117.79 37.07
Element x y z (fractional)
Rb 0.110 0.110 0.287
Rb 0.890 0.890 0.713
H 0.174 0.174 0.765
H 0.340 0.340 0.959
H 0.362 0.362 0.192
H 0.638 0.638 0.808
H 0.660 0.660 0.041
H 0.826 0.826 0.235
O 0.243 0.243 0.737
O 0.411 0.411 0.120
O 0.589 0.589 0.880
O 0.757 0.757 0.263

=====

No. 7
Computed, not measured: an optimized crystal structure of Tb6Ge2Te3S at the GGA-PBE level of DFT.

Calculated values
Total magnetic moment, μB per atom: 0.00
Crystal system: monoclinic
Raw formation energy, meV per atom: -1378
Calculated volume, Å³ per cell: 325.1

abc: 9.563 9.563 8.579
angles: 104.80 104.80 25.42
Element x y z (fractional)
Tb 0.008 0.008 0.231
Tb 0.327 0.327 0.435
Tb 0.340 0.340 0.900
Tb 0.660 0.660 0.100
Tb 0.673 0.673 0.565
Tb 0.992 0.992 0.769
Ge 0.166 0.166 0.330
Ge 0.834 0.834 0.670
Te 0.166 0.166 0.833
Te 0.500 0.500 0.500
Te 0.834 0.834 0.167
S 0.500 0.500 0.000